SmEuFe2O6: optimized geometry, PBE+U.

Calculated values
electronic total energy	-77.9	eV for the cell shown
total magnetic moment	1.600	μB per atom
density of states at the Fermi level	14.45	states/eV per cell

The structure in CIF format:
```
data_SmEuFe2O6
_chemical_formula_sum 'Sm1 Eu1 Fe2 O6'
_cell_length_a 3.9010
_cell_length_b 3.9010
_cell_length_c 7.8097
_cell_angle_alpha 90.00
_cell_angle_beta 90.00
_cell_angle_gamma 90.00
_space_group_name_H-M_alt 'P 4/m m m'
_space_group_IT_number 123
_space_group_name_Hall '-P 4 2'
loop_
_atom_site_label
_atom_site_type_symbol
_atom_site_fract_x
_atom_site_fract_y
_atom_site_fract_z
_atom_site_occupancy
Sm1 Sm 0.0000 0.0000 0.0000 1
Eu1 Eu 0.0000 0.0000 0.5000 1
Fe1 Fe 0.5000 0.5000 0.2491 1
O1 O 0.0000 0.5000 0.2371 1
O2 O 0.5000 0.5000 0.0000 1
O3 O 0.5000 0.5000 0.5000 1
```